No. 1
LiNd6S8 PBE relaxed; ρ = 5.333 g cm⁻³; raw formation energy = -1.9195 eV/atom; SG = R-3, No. 148; electronic total energy = -92.333 eV for the cell shown; volume = 351.5 Å³/f.u.; total magnetization = 0.00 μB per formula unit
1.0
7.0869 0.2672 2.5141
1.8614 6.8433 2.5141
0.3363 0.2672 7.5121
Li Nd S
1 6 8
direct
0.0000 0.0000 0.0000
0.0801 0.4625 0.7021
0.2979 0.9199 0.5375
0.5375 0.2979 0.9199
0.4625 0.7021 0.0801
0.7021 0.0801 0.4625
0.9199 0.5375 0.2979
0.1852 0.6461 0.9071
0.0929 0.8148 0.3539
0.3539 0.0929 0.8148
0.6711 0.6711 0.6711
0.3289 0.3289 0.3289
0.6461 0.9071 0.1852
0.9071 0.1852 0.6461
0.8148 0.3539 0.0929


No. 2
LiNdS2 PBE relaxed; ρ = 4.026 g cm⁻³; raw formation energy = -1.7778 eV/atom; SG = R-3m, No. 166; electronic total energy = -22.048 eV for the cell shown; volume = 88.8 Å³/f.u.; total magnetization = 0.00 μB per formula unit
1.0
-0.0862 -3.1582 -2.5533
3.4698 -1.5291 -1.4570
1.4310 -5.4696 3.4858
S Nd Li
2 1 1
direct
0.2477 0.2477 0.2568
0.7523 0.7523 0.7432
0.0000 0.0000 0.0000
0.5000 0.5000 0.5000


No. 3
LiNdS2 PBE relaxed; ρ = 3.929 g cm⁻³; raw formation energy = -1.7716 eV/atom; SG = I4_1/amd, No. 141; electronic total energy = -44.046 eV for the cell shown; volume = 91.0 Å³/f.u.; total magnetization = 0.00 μB per formula unit
1.0
6.9913 0.0475 0.0000
2.4188 6.5597 0.0000
-4.7051 -3.3036 3.9786
Li Nd S
2 2 4
direct
0.5000 0.5000 0.0000
0.2500 0.7500 0.5000
0.0000 0.0000 0.0000
0.7500 0.2500 0.5000
0.7536 0.7536 0.0000
0.2464 0.2464 0.0000
0.9964 0.4964 0.5000
0.5036 0.0036 0.5000